Record 1
# TmMgAu, optimized geometry, DFT PBE
data_TmMgAu
_chemical_formula_sum 'Tm4 Mg4 Au4'
_cell_length_a 6.7190
_cell_length_b 6.7190
_cell_length_c 6.7190
_cell_angle_alpha 90.00
_cell_angle_beta 90.00
_cell_angle_gamma 90.00
_symmetry_space_group_name_H-M 'F -4 3 m'
_symmetry_Int_Tables_number 216
_symmetry_space_group_name_Hall 'F -4 2 3'
loop_
_atom_site_label
_atom_site_fract_x
_atom_site_fract_y
_atom_site_fract_z
Tm1 0.0000 0.0000 0.0000
Mg1 0.0000 0.0000 0.5000
Au1 0.2500 0.2500 0.2500
# Formation energy: -0.52 eV/atom
# Calculated volume: 303.33 Å³/cell
# Magnetic moment: 0.00 Bohr magnetons per cell
# DOS(E_F): 11.31 states/eV/cell



Record 2
# TmMgAu2, optimized geometry, DFT PBE
data_TmMgAu2
_chemical_formula_sum 'Tm4 Mg4 Au8'
_cell_length_a 6.8826
_cell_length_b 6.8826
_cell_length_c 6.8826
_cell_angle_alpha 90.00
_cell_angle_beta 90.00
_cell_angle_gamma 90.00
_symmetry_space_group_name_H-M 'F m -3 m'
_symmetry_Int_Tables_number 225
_symmetry_space_group_name_Hall '-F 4 2 3'
loop_
_atom_site_label
_atom_site_fract_x
_atom_site_fract_y
_atom_site_fract_z
Tm1 0.0000 0.0000 0.0000
Mg1 0.0000 0.0000 0.5000
Au1 0.2500 0.2500 0.2500
# Formation energy: -0.79 eV/atom
# Calculated volume: 326.03 Å³/cell
# Magnetic moment: 0.00 Bohr magnetons per cell
# DOS(E_F): 9.45 states/eV/cell